(1)
The following is a DFT calculation (SCAN) of a crystal of SrAs2W relaxed with PBEsol.

Cell lengths 2.917, 2.917, 10.181 Å; angles 90.00, 90.00, 100.76 degrees
Positions (direct):
Sr (0.000, 0.000, 0.491)
As (0.000, 0.000, 0.047)
As (0.500, 0.500, 0.735)
W (0.500, 0.500, 0.226)

Summary:
**ρ**: 8.2 Mg/m³
**Excess energy over the best structure of this formula in the dataset**: 2.977 eV per formula unit
**Energy of formation**: 0.4903 eV/atom


(2)
The following is a DFT calculation (SCAN) of a crystal of SrYAs2 relaxed with PBEsol.

Cell lengths 3.572, 3.572, 7.740 Å; angles 90.00, 90.00, 99.00 degrees
Positions (direct):
Y (0.500, 0.500, 0.000)
Sr (0.500, 0.500, 0.500)
As (0.000, 0.000, 0.227)
As (0.000, 0.000, 0.773)

Summary:
**ρ**: 5.6 Mg/m³
**Excess energy over the best structure of this formula in the dataset**: 0.008 eV per formula unit
**Energy of formation**: -1.1427 eV/atom


(3)
The following is a DFT calculation (SCAN) of a crystal of SrYAs2 relaxed with PBEsol.

Cell lengths 6.198, 6.198, 8.703 Å; angles 110.86, 110.86, 90.00 degrees
Each line ends with the local moment (μB).
Positions (direct):
Y (0.250, 0.750, 0.500)  -0.01
Y (0.000, 0.000, 0.000)  -0.01
Sr (0.750, 0.250, 0.500)  0.05
Sr (0.500, 0.500, 0.000)  0.05
As (0.328, 0.875, 0.250)  0.23
As (0.922, 0.375, 0.250)  0.23
As (0.125, 0.078, 0.750)  0.23
As (0.625, 0.672, 0.750)  0.23

Summary:
**ρ**: 3.8 Mg/m³
**Excess energy over the best structure of this formula in the dataset**: 1.127 eV per formula unit
**Energy of formation**: -0.8629 eV/atom


(4)
The following is a DFT calculation (SCAN) of a crystal of SrYAs2 relaxed with PBEsol.

Cell lengths 3.296, 3.757, 7.688 Å; angles 90.00, 90.00, 90.00 degrees
Positions (direct):
Y (0.500, 0.500, 0.000)
Sr (0.500, 0.500, 0.500)
As (0.000, 0.000, 0.229)
As (0.000, 0.000, 0.771)

Summary:
**ρ**: 5.7 Mg/m³
**Excess energy over the best structure of this formula in the dataset**: 0.000 eV per formula unit
**Energy of formation**: -1.1448 eV/atom


(5)
The following is a DFT calculation (SCAN) of a crystal of SrZn3As relaxed with PBEsol.

Cell lengths 4.940, 4.940, 4.940 Å; angles 90.00, 90.00, 90.00 degrees
Positions (direct):
Sr (0.500, 0.500, 0.500)
As (0.000, 0.000, 0.000)
Zn (0.000, 0.500, 0.000)
Zn (0.000, 0.000, 0.500)
Zn (0.500, 0.000, 0.000)

Summary:
**ρ**: 4.9 Mg/m³
**Energy of formation**: 0.1207 eV/atom


(6)
The following is a DFT calculation (SCAN) of a crystal of SrZn2As2 relaxed with PBEsol.

Cell lengths 4.187, 4.187, 7.190 Å; angles 90.00, 90.00, 120.00 degrees
Positions (direct):
Sr (0.000, 0.000, 0.000)
As (0.667, 0.333, 0.730)
As (0.333, 0.667, 0.270)
Zn (0.667, 0.333, 0.371)
Zn (0.333, 0.667, 0.629)

Summary:
**ρ**: 5.6 Mg/m³
**Energy of formation**: -0.7531 eV/atom


(7)
The following is a DFT calculation (SCAN) of a crystal of Sr2ZrAs relaxed with PBEsol.

Cell lengths 4.197, 4.875, 6.685 Å; angles 111.39, 90.00, 90.00 degrees
Each line ends with the local moment (μB).
Positions (direct):
Sr (0.000, 0.980, 0.961)  0.03
Sr (0.500, 0.282, 0.564)  0.04
As (0.500, 0.555, 0.110)  -0.04
Zr (0.000, 0.682, 0.363)  0.57

Summary:
**ρ**: 4.5 Mg/m³
**Energy of formation**: -0.3860 eV/atom


(8)
The following is a DFT calculation (SCAN) of a crystal of Sr2ZrAs relaxed with PBEsol.

Cell lengths 3.728, 3.728, 9.040 Å; angles 90.00, 90.00, 90.00 degrees
Each line ends with the local moment (μB).
Positions (direct):
Sr (0.000, 0.000, 0.937)  -0.03
Sr (0.500, 0.500, 0.311)  -0.02
As (0.500, 0.500, 0.665)  0.04
Zr (0.000, 0.000, 0.587)  -0.49

Summary:
**ρ**: 4.5 Mg/m³
**Energy of formation**: -0.4094 eV/atom